The following is a GGA-PBEsol calculation of a relaxed ZnAsRu crystal, from Alexandria via LeMat-Bulk.

The structure in extended XYZ format:
```
3
Lattice="0.000 2.871 2.871 2.871 0.000 2.871 2.871 2.871 0.000" Properties=species:S:1:pos:R:3 pbc="T T T"
Zn 0.000 0.000 0.000
As 1.435 1.435 1.435
Ru 2.871 2.871 2.871
```

Properties
**Space-group type**: No. 216
**DFT total energy**: -16.2 eV/cell
**D(E_F)**: 0.69 states/eV per atom

The following is a GGA-PBEsol calculation of a relaxed Ni3Br crystal, from Alexandria via LeMat-Bulk.

The structure in extended XYZ format:
```
4
Lattice="0.000 2.906 2.906 2.906 0.000 2.906 2.906 2.906 0.000" Properties=species:S:1:pos:R:3 pbc="T T T"
Ni 0.000 0.000 0.000
Ni 1.453 1.453 1.453
Ni 4.359 4.359 4.359
Br 2.906 2.906 2.906
```

Properties
**Space-group type**: No. 225
**E_form (uncorrected)**: 615.7 meV per atom
**ΔE to the lowest computed polymorph**: 176 meV/atom
**D(E_F)**: 1.20 states/eV per atom

The following is a GGA-PBEsol calculation of a relaxed SrGaFeNi2 crystal, from Alexandria via LeMat-Bulk.

The structure in extended XYZ format:
```
5
Lattice="4.480 0.000 0.000 0.000 4.480 0.000 0.000 0.000 4.514" Properties=species:S:1:pos:R:3 pbc="T T T"
Sr 0.000 0.000 0.000
Ga 2.240 2.240 2.257
Fe 2.240 2.240 0.000
Ni 0.000 2.240 2.257
Ni 2.240 0.000 2.257
```

Properties
**Space-group type**: No. 123
**DFT total energy**: -24.2 eV/cell
**D(E_F)**: 1.26 states/eV per atom

The following is a GGA-PBEsol calculation of a relaxed LiTiCoH2 crystal, from Alexandria via LeMat-Bulk.

The structure in extended XYZ format:
```
5
Lattice="3.301 0.000 0.000 0.000 3.301 0.000 0.000 0.000 4.367" Properties=species:S:1:pos:R:3 pbc="T T T"
Li 0.000 0.000 0.000
Ti 1.650 1.650 2.184
Co 0.000 0.000 2.184
H 0.000 1.650 0.000
H 1.650 0.000 0.000
```

Properties
**Space-group type**: No. 123
**DFT total energy**: -22.1 eV/cell
**D(E_F)**: 0.50 states/eV per atom

The following is a GGA-PBEsol calculation of a relaxed OsPb crystal, from Alexandria via LeMat-Bulk.

The structure in extended XYZ format:
```
2
Lattice="0.000 2.731 2.731 2.731 0.000 2.731 2.731 2.731 0.000" Properties=species:S:1:pos:R:3 pbc="T T T"
Os 0.000 0.000 0.000
Pb 2.731 2.731 2.731
```

Properties
**Space-group type**: No. 225
**DFT total energy**: -13.1 eV/cell
**D(E_F)**: 1.35 states/eV per atom

The following is a GGA-PBEsol calculation of a relaxed Nb2Pd2I crystal, from Alexandria via LeMat-Bulk.

The structure in extended XYZ format:
```
5
Lattice="-1.882 1.882 6.876 1.882 -1.882 6.876 1.882 1.882 -6.876" Properties=species:S:1:pos:R:3 pbc="T T T"
Nb 1.882 0.000 3.438
Nb 0.000 1.882 3.438
Pd 0.000 0.000 1.416
Pd 0.000 0.000 12.336
I 0.000 0.000 6.876
```

Properties
**Space-group type**: No. 139
**E_form (uncorrected)**: 226.6 meV per atom
**D(E_F)**: 0.48 states/eV per atom

The following is a GGA-PBEsol calculation of a relaxed ScMnW2 crystal, from Alexandria via LeMat-Bulk.

The structure in extended XYZ format:
```
4
Lattice="2.610 -4.513 0.000 2.610 4.513 0.000 0.000 0.000 2.667" Properties=species:S:1:pos:R:3 pbc="T T T"
Sc 0.000 0.000 0.000
Mn 2.610 0.000 0.000
W 1.305 2.256 1.333
W 1.305 -2.256 1.333
```

Properties
**Space-group type**: No. 65
**ΔE to the lowest computed polymorph**: 9 meV/atom
**D(E_F)**: 1.07 states/eV per atom

The following is a GGA-PBEsol calculation of a relaxed La2MgHg crystal, from Alexandria via LeMat-Bulk.

The structure in extended XYZ format:
```
4
Lattice="0.000 3.864 3.864 3.864 0.000 3.864 3.864 3.864 0.000" Properties=species:S:1:pos:R:3 pbc="T T T"
La 1.932 1.932 1.932
La 5.796 5.796 5.796
Mg 0.000 0.000 0.000
Hg 3.864 3.864 3.864
```

Properties
**Space-group type**: No. 225
**ΔE to the lowest computed polymorph**: 21 meV/atom
**D(E_F)**: 1.13 states/eV per atom

The following is a GGA-PBEsol calculation of a relaxed TiTePtI2 crystal, from Alexandria via LeMat-Bulk.

The structure in extended XYZ format:
```
5
Lattice="5.294 0.000 0.000 0.000 5.294 0.000 0.000 0.000 5.334" Properties=species:S:1:pos:R:3 pbc="T T T"
Ti 0.000 0.000 0.000
Te 2.647 2.647 0.000
Pt 2.647 2.647 2.667
I 0.000 2.647 2.667
I 2.647 0.000 2.667
```

Properties
**Space-group type**: No. 123
**E_form (uncorrected)**: 499.0 meV per atom
**ΔE to the lowest computed polymorph**: 0 meV/atom
**D(E_F)**: 1.70 states/eV per atom

The following is a GGA-PBEsol calculation of a relaxed Cd2HgAu crystal, from Alexandria via LeMat-Bulk.

The structure in extended XYZ format:
```
4
Lattice="4.442 0.000 0.000 0.000 4.442 0.000 0.000 0.000 3.950" Properties=species:S:1:pos:R:3 pbc="T T T"
Cd 0.000 2.221 0.000
Cd 2.221 0.000 0.000
Hg 0.000 0.000 1.975
Au 2.221 2.221 1.975
```

Properties
**Space-group type**: No. 123
**ΔE to the lowest computed polymorph**: 24 meV/atom
**D(E_F)**: 0.31 states/eV per atom